First-principles (PBE-GGA) data for a relaxed CaAl2Zn5 crystal, as listed in Alexandria.

a b c (Å): 6.531 6.531 6.531
angles (deg): 143.64 114.43 77.35
Sites, in units of the cell vectors:
Ca1 0.000 0.000 0.000
Al1 0.252 0.752 0.500
Al2 0.748 0.248 0.500
Zn1 0.183 0.368 0.815
Zn2 0.447 0.632 0.815
Zn3 0.500 0.000 0.500
Zn4 0.553 0.368 0.185
Zn5 0.817 0.632 0.185

Output
* electronic total energy: -16.97 eV for the cell shown
* energy of formation from the pure elements: -139.1 meV/atom
* D(E_F): 2.564 states/eV per cell